# MnV2Pd, relaxed, DFT PBE
# ρ   8.26 g/cm³
# DOS at the Fermi energy   3.64 states/eV/cell
data_MnV2Pd
_space_group_name_H-M_alt 'P 4/m m m'
_space_group_IT_number 123
_space_group_name_Hall '-P 4 2'
_cell_length_a 2.775
_cell_length_b 2.775
_cell_length_c 6.873
_cell_angle_alpha 90.00
_cell_angle_beta 90.00
_cell_angle_gamma 90.00
loop_
_atom_site_label
_atom_site_type_symbol
_atom_site_fract_x
_atom_site_fract_y
_atom_site_fract_z
Mn1 Mn 0.000 0.000 0.000
V1 V 0.500 0.500 0.216
Pd1 Pd 0.000 0.000 0.500

---

# Mn2VPd, relaxed, DFT PBE
# ρ   7.94 g/cm³
# DOS at the Fermi energy   22.87 states/eV/cell
data_Mn2VPd
_space_group_name_H-M_alt 'I -4 2 d'
_space_group_IT_number 122
_space_group_name_Hall 'I -4 2bw'
_cell_length_a 3.600
_cell_length_b 3.600
_cell_length_c 17.241
_cell_angle_alpha 90.00
_cell_angle_beta 90.00
_cell_angle_gamma 90.00
loop_
_atom_site_label
_atom_site_type_symbol
_atom_site_fract_x
_atom_site_fract_y
_atom_site_fract_z
Mn1 Mn 0.176 0.250 0.125
V1 V 0.000 0.000 0.000
Pd1 Pd 0.000 0.000 0.500

---

| no. | E_tot (eV/atom) |
| --- | --- |
| 1 | -8.3153 |
| 2 | -7.6202 |